[1]
Density functional theory data (GGA-PBE) for crystalline PaSb5 at its relaxed geometry.

```
data_PaSb5
_space_group_name_H-M_alt 'C m m m'
_space_group_IT_number 65
_space_group_name_Hall '-C 2 2'
_cell_length_a 4.291
_cell_length_b 16.722
_cell_length_c 4.610
_cell_angle_alpha 90.00
_cell_angle_beta 90.00
_cell_angle_gamma 90.00
loop_
_atom_site_label
_atom_site_type_symbol
_atom_site_fract_x
_atom_site_fract_y
_atom_site_fract_z
Pa1 Pa 0.000 0.000 0.000
Sb1 Sb 0.000 0.154 0.500
Sb2 Sb 0.000 0.347 0.000
Sb3 Sb 0.000 0.500 0.500
```

Calculated values
The volume is 27.568 A^3/atom. For the energy relative to the elements, uncorrected, the calculation gives -1.0 eV per formula unit.



[2]
Density functional theory data (GGA-PBE) for crystalline Pa3Sb2 at its relaxed geometry.

```
data_Pa3Sb2
_space_group_name_H-M_alt 'P n m a'
_space_group_IT_number 62
_space_group_name_Hall '-P 2ac 2n'
_cell_length_a 12.060
_cell_length_b 4.176
_cell_length_c 10.871
_cell_angle_alpha 90.00
_cell_angle_beta 90.00
_cell_angle_gamma 90.00
loop_
_atom_site_label
_atom_site_type_symbol
_atom_site_fract_x
_atom_site_fract_y
_atom_site_fract_z
Pa1 Pa 0.057 0.250 0.122
Pa2 Pa 0.145 0.750 0.598
Pa3 Pa 0.204 0.250 0.755
Sb1 Sb 0.043 0.750 0.335
Sb2 Sb 0.193 0.750 0.973
```

Calculated values
The volume is 27.376 A^3/atom. For the energy relative to the elements, uncorrected, the calculation gives -1.2 eV per formula unit.



[3]
Density functional theory data (GGA-PBE) for crystalline PaSb at its relaxed geometry.

```
data_PaSb
_space_group_name_H-M_alt 'R -3 m'
_space_group_IT_number 166
_space_group_name_Hall '-R 3 2"'
_cell_length_a 4.2207
_cell_length_b 4.2207
_cell_length_c 23.5180
_cell_angle_alpha 90.00
_cell_angle_beta 90.00
_cell_angle_gamma 120.00
loop_
_atom_site_label
_atom_site_type_symbol
_atom_site_fract_x
_atom_site_fract_y
_atom_site_fract_z
Pa1 Pa 0.0000 0.0000 0.1381
Sb1 Sb 0.0000 0.0000 0.2779
```

Calculated values
Its energy above the lowest structure with this stoichiometry is 1.30 eV/f.u. The volume is 30.235 A^3/atom. For the energy relative to the elements, uncorrected, the calculation gives 0.4 eV per formula unit.



Please write out number 2 again, unchanged.
Density functional theory data (GGA-PBE) for crystalline Pa3Sb2 at its relaxed geometry.

```
data_Pa3Sb2
_space_group_name_H-M_alt 'P n m a'
_space_group_IT_number 62
_space_group_name_Hall '-P 2ac 2n'
_cell_length_a 12.060
_cell_length_b 4.176
_cell_length_c 10.871
_cell_angle_alpha 90.00
_cell_angle_beta 90.00
_cell_angle_gamma 90.00
loop_
_atom_site_label
_atom_site_type_symbol
_atom_site_fract_x
_atom_site_fract_y
_atom_site_fract_z
Pa1 Pa 0.057 0.250 0.122
Pa2 Pa 0.145 0.750 0.598
Pa3 Pa 0.204 0.250 0.755
Sb1 Sb 0.043 0.750 0.335
Sb2 Sb 0.193 0.750 0.973
```

Calculated values
The volume is 27.376 A^3/atom. For the energy relative to the elements, uncorrected, the calculation gives -1.2 eV per formula unit.